# 1
LiCdAu after structural relaxation. Source: Alexandria, functional GGA-PBE.

Properties
- ΔH_f (0 K) (eV/atom) = -0.229
- offset from the most stable computed form (meV per atom) = 153
- total energy (hartree per atom) = -0.08321

Lattice parameters (Å, degrees): 3.149 3.149 24.313 90.00 90.00 90.00
Space group I4/mmm (No. 139)
Inequivalent atoms, fractional coordinates:
Li: 0.000 0.000 0.062 x4
Cd: 0.000 0.000 0.203 x4
Au: 0.000 0.000 0.379 x4

---

# 2
KDy2ZnSe4 after structural relaxation. Source: Alexandria, functional GGA-PBE.

Properties
- total energy (hartree per atom) = -0.16988

Lattice parameters (Å, degrees): 4.093 14.274 14.547 90.00 90.00 90.00
Space group Cmcm (No. 63)
Inequivalent atoms, fractional coordinates:
K: 0.000 0.114 0.250 x4
Dy: 0.000 0.373 0.053 x8
Zn: 0.000 0.164 0.750 x4
Se: 0.000 0.000 0.000 x4
Se: 0.000 0.265 0.612 x8
Se: 0.000 0.434 0.250 x4